Sm2SnS3 after structural relaxation, computed with PBE.

Computed properties:
* calculated density: 6.02 Mg/m³
* magnetic moment: 0.002 μB per cell
* total DFT energy (no corrections): -34.41 eV for the cell shown

a b c (Å): 4.0432 4.0432 10.0442
angles (deg): 90.00 90.00 120.00
With the nearest neighbours (Å) after each atom.
Positions (direct):
Sm1 0.3333 0.6667 0.1499  6 S 2.78-2.93
Sm2 0.6667 0.3333 0.8501  6 S 2.78-2.93
Sn1 0.0000 0.0000 0.5000  6 S 2.92
S1 0.0000 0.0000 0.0000  6 Sm 2.78
S2 0.3333 0.6667 0.6741  3 Sn 2.92, 3 Sm 2.93
S3 0.6667 0.3333 0.3259  3 Sn 2.92, 3 Sm 2.93